No. 1
The following is a PBE calculation of crystalline CeGa4Pb at its relaxed geometry, from Alexandria via LeMat-Bulk. Values from VASP.

Output
ΔH_f (0 K) = -0.20 eV per atom
total moment = 0.19 μB per atom
VASP energy = -3.82 eV per atom

```
&SYSTEM
  ibrav = 0, nat = 6, ntyp = 3
/
ATOMIC_SPECIES
Ce 140.12 Ce.upf
Ga 69.72 Ga.upf
Pb 207.20 Pb.upf
CELL_PARAMETERS angstrom
5.687 0.000 0.000
2.843 4.925 0.000
2.843 1.642 4.643
ATOMIC_POSITIONS crystal
Ce 0.250 0.250 0.250
Ga 0.125 0.625 0.625
Ga 0.625 0.125 0.625
Pb 0.000 0.000 0.000
Ga 0.625 0.625 0.625
Ga 0.625 0.625 0.125
```

---

No. 2
The following is a PBE calculation of crystalline Sm3GaIr2 at its relaxed geometry, from Alexandria via LeMat-Bulk. Values from VASP.

Output
ΔH_f (0 K) = -0.68 eV per atom
total moment = 0.00 μB per atom
VASP energy = -6.50 eV per atom

```
&SYSTEM
  ibrav = 0, nat = 24, ntyp = 3
/
ATOMIC_SPECIES
Ga 69.72 Ga.upf
Ir 192.22 Ir.upf
Sm 150.36 Sm.upf
CELL_PARAMETERS angstrom
-3.020 1.899 1.813
0.854 -7.582 9.361
7.811 7.389 5.272
ATOMIC_POSITIONS crystal
Ga 0.750 0.629 0.379
Ir 0.250 0.488 0.811
Ir 0.750 0.512 0.189
Ir 0.250 0.690 0.490
Ir 0.250 0.810 0.990
Sm 0.750 0.930 0.131
Sm 0.250 0.070 0.869
Ga 0.250 0.129 0.121
Sm 0.250 0.378 0.055
Ir 0.250 0.012 0.311
Sm 0.750 0.180 0.302
Sm 0.250 0.820 0.698
Ga 0.250 0.371 0.621
Ir 0.750 0.310 0.510
Sm 0.250 0.122 0.555
Ir 0.750 0.988 0.689
Sm 0.250 0.430 0.369
Ir 0.750 0.190 0.010
Sm 0.750 0.320 0.802
Ga 0.750 0.871 0.879
Sm 0.250 0.680 0.198
Sm 0.750 0.878 0.445
Sm 0.750 0.570 0.631
Sm 0.750 0.622 0.945
```

---

No. 3
The following is a PBE calculation of crystalline ZrAlPd3 at its relaxed geometry, from Alexandria via LeMat-Bulk. Values from VASP.

Output
ΔH_f (0 K) = -0.11 eV per atom
total moment = 0.00 μB per atom
VASP energy = -5.68 eV per atom

```
&SYSTEM
  ibrav = 0, nat = 5, ntyp = 3
/
ATOMIC_SPECIES
Pd 106.42 Pd.upf
Zr 91.22 Zr.upf
Al 26.98 Al.upf
CELL_PARAMETERS angstrom
4.548 0.000 0.000
0.000 4.548 0.000
0.000 0.000 4.548
ATOMIC_POSITIONS crystal
Pd 0.500 0.000 0.000
Pd 0.000 0.500 0.000
Zr 0.500 0.500 0.500
Al 0.000 0.000 0.000
Pd 0.000 0.000 0.500
```

---

No. 4
The following is a PBE calculation of crystalline NdCd2Bi4 at its relaxed geometry, from Alexandria via LeMat-Bulk. Values from VASP.

Output
ΔH_f (0 K) = -0.22 eV per atom
total moment = 0.00 μB per atom
VASP energy = -3.38 eV per atom

```
&SYSTEM
  ibrav = 0, nat = 7, ntyp = 3
/
ATOMIC_SPECIES
Cd 112.41 Cd.upf
Nd 144.24 Nd.upf
Bi 208.98 Bi.upf
CELL_PARAMETERS angstrom
4.704 0.000 0.000
0.000 6.635 -1.463
0.000 0.688 6.759
ATOMIC_POSITIONS crystal
Cd 0.000 0.755 0.245
Nd 0.500 0.500 0.500
Cd 0.000 0.245 0.755
Bi 0.500 0.500 0.000
Bi 0.000 0.777 0.777
Bi 0.000 0.223 0.223
Bi 0.500 0.000 0.500
```

---

No. 5
The following is a PBE calculation of crystalline Si2Ag2Hg at its relaxed geometry, from Alexandria via LeMat-Bulk. Values from VASP.

Output
formation energy (no corrections) = 0.2903 eV per atom
total moment = 0.00 μB per atom
VASP energy = -3.08 eV per atom

```
&SYSTEM
  ibrav = 0, nat = 5, ntyp = 3
/
ATOMIC_SPECIES
Si 28.09 Si.upf
Ag 107.87 Ag.upf
Hg 200.59 Hg.upf
CELL_PARAMETERS angstrom
-2.051 -2.655 -1.217
0.161 -1.588 3.192
-7.011 1.580 3.135
ATOMIC_POSITIONS crystal
Si 0.750 0.250 0.500
Ag 0.605 0.605 0.790
Si 0.250 0.750 0.500
Hg 0.000 0.000 0.000
Ag 0.395 0.395 0.210
```

---

No. 6
The following is a PBE calculation of crystalline CsCaSb4 at its relaxed geometry, from Alexandria via LeMat-Bulk. Values from VASP.

Output
formation energy (no corrections) = -0.4060 eV per atom
total moment = 0.00 μB per atom
VASP energy = -3.63 eV per atom

```
&SYSTEM
  ibrav = 0, nat = 6, ntyp = 3
/
ATOMIC_SPECIES
Sb 121.76 Sb.upf
Ca 40.08 Ca.upf
Cs 132.91 Cs.upf
CELL_PARAMETERS angstrom
4.409 0.000 0.001
0.000 4.409 -0.001
0.000 0.000 11.593
ATOMIC_POSITIONS crystal
Sb 0.500 0.000 0.214
Sb 0.500 0.000 0.786
Sb 0.000 0.500 0.214
Ca 0.000 0.000 0.000
Cs 0.500 0.500 0.500
Sb 0.000 0.500 0.786
```

---

Repeat the fourth record exactly.
The following is a PBE calculation of crystalline NdCd2Bi4 at its relaxed geometry, from Alexandria via LeMat-Bulk. Values from VASP.

Output
ΔH_f (0 K) = -0.22 eV per atom
total moment = 0.00 μB per atom
VASP energy = -3.38 eV per atom

```
&SYSTEM
  ibrav = 0, nat = 7, ntyp = 3
/
ATOMIC_SPECIES
Cd 112.41 Cd.upf
Nd 144.24 Nd.upf
Bi 208.98 Bi.upf
CELL_PARAMETERS angstrom
4.704 0.000 0.000
0.000 6.635 -1.463
0.000 0.688 6.759
ATOMIC_POSITIONS crystal
Cd 0.000 0.755 0.245
Nd 0.500 0.500 0.500
Cd 0.000 0.245 0.755
Bi 0.500 0.500 0.000
Bi 0.000 0.777 0.777
Bi 0.000 0.223 0.223
Bi 0.500 0.000 0.500
```

---

Which value of VASP energy does entry 6 give? -3.63 eV per atom